A plane-wave DFT calculation with PBE with a Hubbard U was carried out for a relaxed CrRe3F crystal.

abc: 4.4676 4.4676 4.4676
angles: 90.00 90.00 90.00
Atoms (fractional coordinates):
Cr: 0.0000 0.0000 0.0000
Re: 0.0000 0.0000 0.5000
Re: 0.0000 0.5000 0.0000
Re: 0.5000 0.0000 0.0000
F: 0.5000 0.5000 0.5000

Results
E above lowest polymorph, meV/atom: 563